PBE UCdSb2O8, relaxed; symmetry = Cmmm; E = -0.503 Ry per atom; formation energy without anion corrections = -21.996 eV/f.u.
1.0
5.057 0.010 -0.003
0.054 5.054 -0.006
0.004 0.008 6.680
U Cd Sb O
1 1 2 8
Direct
0.000 0.000 0.000
0.000 0.000 0.500
0.500 0.500 0.746
0.500 0.500 0.254
0.203 0.796 0.225
0.686 0.687 0.000
0.797 0.204 0.225
0.797 0.204 0.775
0.314 0.313 0.000
0.203 0.796 0.775
0.678 0.679 0.500
0.322 0.321 0.500